# 1
! Mn2MoCl SCAN PBEsol geometry; values from VASP
! Energy above the lowest structure with this stoichiometry = 0.587 eV per atom
! Electronic total energy = -19.12 eV per atom
! Space group = P4/mmm (123)
! Fermi-level density of states = 1.00 states/eV per atom
&SYSTEM
  ibrav = 0, nat = 4, ntyp = 3
/
ATOMIC_SPECIES
Mn 54.94 Mn.upf
Cl 35.45 Cl.upf
Mo 95.94 Mo.upf
CELL_PARAMETERS angstrom
-1.9173 1.7854 2.6008
-0.3865 -3.1535 1.8799
3.4061 0.7659 1.9851
ATOMIC_POSITIONS crystal
Mn 0.5000 0.0000 0.0000
Mn 0.0000 0.5000 0.0000
Cl 0.0000 0.0000 0.5000
Mo 0.5000 0.5000 0.5000



# 2
! CaMgAu2 SCAN PBEsol geometry; values from VASP
! Electronic total energy = -38.82 eV per atom
! Formation enthalpy at 0 K = -0.581 eV/atom
! Space group = F-43m (216)
! Fermi-level density of states = 0.45 states/eV per atom
&SYSTEM
  ibrav = 0, nat = 4, ntyp = 3
/
ATOMIC_SPECIES
Mg 24.30 Mg.upf
Au 196.97 Au.upf
Ca 40.08 Ca.upf
CELL_PARAMETERS angstrom
-4.0078 1.2445 2.3585
0.0064 0.2172 4.8090
-0.2620 4.2649 2.2172
ATOMIC_POSITIONS crystal
Mg 0.7500 0.7500 0.7500
Au 0.2500 0.2500 0.2500
Au 0.0000 0.0000 0.0000
Ca 0.5000 0.5000 0.5000



# 3
! BeAs2Rh SCAN PBEsol geometry; values from VASP
! Electronic total energy = -19.52 eV per atom
! Formation enthalpy at 0 K = 0.112 eV/atom
! Space group = I-4m2 (119)
! Fermi-level density of states = 0.44 states/eV per atom
&SYSTEM
  ibrav = 0, nat = 4, ntyp = 3
/
ATOMIC_SPECIES
As 74.92 As.upf
Rh 102.91 Rh.upf
Be 9.01 Be.upf
CELL_PARAMETERS angstrom
3.8262 0.0000 0.0000
0.0000 3.8262 0.0000
-1.9131 -1.9131 3.8718
ATOMIC_POSITIONS crystal
As 0.0000 0.0000 0.0000
As 0.7500 0.2500 0.5000
Rh 0.2500 0.7500 0.5000
Be 0.5000 0.5000 0.0000



# 4
! YCo2Cu SCAN PBEsol geometry; values from VASP
! Energy above the lowest structure with this stoichiometry = 0.298 eV per atom
! Electronic total energy = -19.21 eV per atom
! Formation enthalpy at 0 K = 0.198 eV/atom
! Space group = P4/mmm (123)
! Fermi-level density of states = 0.91 states/eV per atom
&SYSTEM
  ibrav = 0, nat = 4, ntyp = 3
/
ATOMIC_SPECIES
Y 88.91 Y.upf
Co 58.93 Co.upf
Cu 63.55 Cu.upf
CELL_PARAMETERS angstrom
3.1633 0.0000 0.0000
0.0000 3.1633 0.0000
0.0000 0.0000 5.8176
ATOMIC_POSITIONS crystal
Y 0.5000 0.5000 0.5000
Co 0.0000 0.0000 0.8067
Co 0.0000 0.0000 0.1933
Cu 0.5000 0.5000 0.0000



# 5
! YWI2O SCAN PBEsol geometry; values from VASP
! Electronic total energy = -35.53 eV per atom
! Space group = P4/mmm (123)
! Fermi-level density of states = 0.50 states/eV per atom
&SYSTEM
  ibrav = 0, nat = 5, ntyp = 4
/
ATOMIC_SPECIES
I 126.90 I.upf
W 183.84 W.upf
O 16.00 O.upf
Y 88.91 Y.upf
CELL_PARAMETERS angstrom
4.0854 0.0000 0.0000
0.0000 5.9778 0.0000
0.0000 0.0000 5.9778
ATOMIC_POSITIONS crystal
I 0.0000 0.5000 0.0000
I 0.0000 0.0000 0.5000
W 0.5000 0.5000 0.5000
O 0.5000 0.0000 0.0000
Y 0.0000 0.0000 0.0000



# 6
! ZnRu2Au SCAN PBEsol geometry; values from VASP
! Electronic total energy = -37.92 eV per atom
! Formation enthalpy at 0 K = 0.160 eV/atom
! Space group = I-4m2 (119)
! Fermi-level density of states = 0.87 states/eV per atom
&SYSTEM
  ibrav = 0, nat = 4, ntyp = 3
/
ATOMIC_SPECIES
Ru 101.07 Ru.upf
Au 196.97 Au.upf
Zn 65.41 Zn.upf
CELL_PARAMETERS angstrom
3.8662 0.0000 0.0000
0.0000 3.8662 0.0000
-1.9331 -1.9331 3.7662
ATOMIC_POSITIONS crystal
Ru 0.0000 0.0000 0.0000
Ru 0.7500 0.2500 0.5000
Au 0.2500 0.7500 0.5000
Zn 0.5000 0.5000 0.0000



# 7
! ZnAuSe2 SCAN PBEsol geometry; values from VASP
! Electronic total energy = -30.86 eV per atom
! Space group = P4mm (99)
! Fermi-level density of states = 0.49 states/eV per atom
&SYSTEM
  ibrav = 0, nat = 4, ntyp = 3
/
ATOMIC_SPECIES
Au 196.97 Au.upf
Zn 65.41 Zn.upf
Se 78.96 Se.upf
CELL_PARAMETERS angstrom
-2.8245 -0.8279 2.0348
1.3468 -3.2711 0.5386
3.1300 2.1480 5.2187
ATOMIC_POSITIONS crystal
Au 0.5000 0.5000 0.9171
Zn 0.0000 0.0000 0.4321
Se 0.0000 0.0000 0.8186
Se 0.5000 0.5000 0.3322



# 8
! Ta2SbAs SCAN PBEsol geometry; values from VASP
! Electronic total energy = -47.78 eV per atom
! Space group = Cmm2 (35)
! Fermi-level density of states = 0.27 states/eV per atom
&SYSTEM
  ibrav = 0, nat = 4, ntyp = 3
/
ATOMIC_SPECIES
Ta 180.95 Ta.upf
As 74.92 As.upf
Sb 121.76 Sb.upf
CELL_PARAMETERS angstrom
-1.4058 -1.7505 1.9393
2.8406 0.0747 0.8525
-1.8877 7.7330 5.6119
ATOMIC_POSITIONS crystal
Ta 0.5000 0.5000 0.7549
Ta 0.0000 0.0000 0.9792
As 0.0000 0.0000 0.5580
Sb 0.5000 0.5000 0.2079



# 9
! K2CrAs SCAN PBEsol geometry; values from VASP
! Electronic total energy = -14.02 eV per atom
! Formation enthalpy at 0 K = -0.209 eV/atom
! Space group = Imm2 (44)
! Fermi-level density of states = 0.12 states/eV per atom
&SYSTEM
  ibrav = 0, nat = 4, ntyp = 3
/
ATOMIC_SPECIES
K 39.10 K.upf
As 74.92 As.upf
Cr 52.00 Cr.upf
CELL_PARAMETERS angstrom
4.5744 0.0000 0.0000
0.0000 5.8710 0.0000
-2.2872 -2.9355 4.7810
ATOMIC_POSITIONS crystal
K 0.9654 0.9654 0.9308
K 0.7846 0.2846 0.5692
As 0.5848 0.5848 0.1696
Cr 0.1652 0.6652 0.3304



# 10
! LaY2Mg SCAN PBEsol geometry; values from VASP
! Electronic total energy = -25.92 eV per atom
! Formation enthalpy at 0 K = 0.017 eV/atom
! Space group = I-4m2 (119)
! Fermi-level density of states = 1.15 states/eV per atom
&SYSTEM
  ibrav = 0, nat = 4, ntyp = 3
/
ATOMIC_SPECIES
La 138.91 La.upf
Y 88.91 Y.upf
Mg 24.30 Mg.upf
CELL_PARAMETERS angstrom
-1.1008 2.4366 4.1443
2.7224 -3.1882 2.5976
3.1025 3.2077 -3.9965
ATOMIC_POSITIONS crystal
La 0.5000 0.5000 0.0000
Y 0.0000 0.0000 0.0000
Y 0.7500 0.2500 0.5000
Mg 0.2500 0.7500 0.5000



# 11
! AgIBrO2 SCAN PBEsol geometry; values from VASP
! Electronic total energy = -19.54 eV per atom
! Space group = P4/mmm (123)
! Fermi-level density of states = 0.40 states/eV per atom
&SYSTEM
  ibrav = 0, nat = 5, ntyp = 4
/
ATOMIC_SPECIES
O 16.00 O.upf
Ag 107.87 Ag.upf
I 126.90 I.upf
Br 79.90 Br.upf
CELL_PARAMETERS angstrom
-1.9167 -2.8853 -1.7833
1.9330 -2.6123 2.1490
-5.3193 0.3292 5.1848
ATOMIC_POSITIONS crystal
O 0.0000 0.5000 0.0000
O 0.5000 0.0000 0.0000
Ag 0.5000 0.5000 0.5000
I 0.0000 0.0000 0.5000
Br 0.0000 0.0000 0.0000



# 12
! KCd2Tc SCAN PBEsol geometry; values from VASP
! Energy above the lowest structure with this stoichiometry = 0.140 eV per atom
! Electronic total energy = -25.39 eV per atom
! Formation enthalpy at 0 K = 0.666 eV/atom
! Space group = Imm2 (44)
! Fermi-level density of states = 0.52 states/eV per atom
&SYSTEM
  ibrav = 0, nat = 4, ntyp = 3
/
ATOMIC_SPECIES
Cd 112.41 Cd.upf
K 39.10 K.upf
Tc 98.00 Tc.upf
CELL_PARAMETERS angstrom
-0.0983 -2.4248 -1.3123
3.6891 -2.0276 3.4699
-6.0125 0.5126 2.4034
ATOMIC_POSITIONS crystal
Cd 0.9829 0.9829 0.9659
Cd 0.7282 0.2282 0.4564
K 0.5122 0.5122 0.0243
Tc 0.2767 0.7767 0.5535



| no. | ρ (Mg/m³) |
| --- | --- |
| 1 | 7.32 |
| 2 | 9.65 |
| 3 | 7.67 |
| 4 | 7.71 |
| 5 | 6.17 |
| 6 | 13.70 |
| 7 | 8.45 |
| 8 | 11.27 |
| 9 | 2.65 |
| 10 | 4.78 |
| 11 | 5.10 |
| 12 | 6.97 |